1.
Computed, not measured: a geometry-optimized Nd2ErCd3 structure at the PBE-GGA level of DFT.

The structure in POSCAR format:
```
Nd2ErCd3
1.0
5.383 0.000 0.000
-2.692 4.662 0.000
0.000 0.000 13.235
Nd Er Cd
4 2 6
direct
0.000 0.000 0.000
0.000 0.000 0.500
0.333 0.667 0.171
0.667 0.333 0.829
0.333 0.667 0.667
0.667 0.333 0.333
0.000 0.000 0.254
0.000 0.000 0.746
0.333 0.667 0.419
0.333 0.667 0.913
0.667 0.333 0.087
0.667 0.333 0.581
```

Output
Crystal system   trigonal
Mass density   7.93 g cm⁻³
Total energy   -3.12 eV/atom

2.
Computed, not measured: a geometry-optimized NdErCd6 structure at the PBE-GGA level of DFT.

The structure in POSCAR format:
```
NdErCd6
1.0
4.909 0.000 0.000
0.000 3.603 5.505
0.000 -3.603 5.505
Nd Er Cd
1 1 6
direct
0.000 0.000 0.000
0.500 0.726 0.726
0.000 0.051 0.487
0.000 0.487 0.051
0.000 0.540 0.540
0.500 0.193 0.193
0.500 0.244 0.670
0.500 0.670 0.244
```

Output
Crystal system   orthorhombic
Mass density   8.41 g cm⁻³
Total energy   -2.13 eV/atom

3.
Computed, not measured: a geometry-optimized Nd12Er3Cd structure at the PBE-GGA level of DFT.

The structure in POSCAR format:
```
Nd12Er3Cd
1.0
5.091 0.000 0.000
0.000 5.091 0.000
0.000 0.000 20.569
Nd Er Cd
12 3 1
direct
0.000 0.000 0.000
0.000 0.000 0.246
0.000 0.000 0.500
0.000 0.000 0.754
0.000 0.500 0.122
0.000 0.500 0.374
0.000 0.500 0.626
0.000 0.500 0.878
0.500 0.000 0.122
0.500 0.000 0.374
0.500 0.000 0.626
0.500 0.000 0.878
0.500 0.500 0.248
0.500 0.500 0.500
0.500 0.500 0.752
0.500 0.500 0.000
```

Output
Crystal system   tetragonal
Mass density   7.30 g cm⁻³
Total energy   -4.50 eV/atom

4.
Computed, not measured: a geometry-optimized Nd9ErCd2 structure at the PBE-GGA level of DFT.

The structure in POSCAR format:
```
Nd9ErCd2
1.0
5.021 0.000 0.000
0.000 5.021 0.000
0.000 0.000 15.254
Nd Er Cd
9 1 2
direct
0.000 0.000 0.000
0.000 0.000 0.336
0.000 0.000 0.664
0.000 0.500 0.172
0.000 0.500 0.500
0.000 0.500 0.828
0.500 0.000 0.172
0.500 0.000 0.500
0.500 0.000 0.828
0.500 0.500 0.000
0.500 0.500 0.340
0.500 0.500 0.660
```

Output
Crystal system   tetragonal
Mass density   7.30 g cm⁻³
Total energy   -4.17 eV/atom

5.
Computed, not measured: a geometry-optimized Nd2ErCd5 structure at the PBE-GGA level of DFT.

The structure in POSCAR format:
```
Nd2ErCd5
1.0
-2.579 2.579 7.737
2.579 -2.579 7.737
2.579 2.579 -7.737
Nd Er Cd
2 1 5
direct
0.239 0.239 0.000
0.761 0.761 0.000
0.500 0.500 0.000
0.000 0.000 0.000
0.113 0.613 0.500
0.387 0.887 0.500
0.613 0.113 0.500
0.887 0.387 0.500
```

Output
Crystal system   tetragonal
Mass density   8.21 g cm⁻³
Total energy   -2.63 eV/atom

6.
Computed, not measured: a geometry-optimized Nd5ErCd4 structure at the PBE-GGA level of DFT.

The structure in POSCAR format:
```
Nd5ErCd4
1.0
3.804 0.000 0.000
0.000 3.804 0.000
0.000 0.000 20.503
Nd Er Cd
5 1 4
direct
0.000 0.000 0.000
0.000 0.000 0.191
0.000 0.000 0.384
0.000 0.000 0.616
0.000 0.000 0.809
0.500 0.500 0.500
0.500 0.500 0.096
0.500 0.500 0.289
0.500 0.500 0.711
0.500 0.500 0.904
```

Output
Crystal system   tetragonal
Mass density   7.49 g cm⁻³
Total energy   -3.45 eV/atom

7.
Computed, not measured: a geometry-optimized Nd5ErCd6 structure at the PBE-GGA level of DFT.

The structure in POSCAR format:
```
Nd5ErCd6
1.0
2.700 -8.120 0.000
2.700 8.120 0.000
0.000 0.000 7.712
Nd Er Cd
5 1 6
direct
0.000 0.000 0.000
0.331 0.669 0.000
0.334 0.666 0.500
0.666 0.334 0.500
0.669 0.331 0.000
0.000 0.000 0.500
0.163 0.837 0.256
0.163 0.837 0.744
0.500 0.500 0.257
0.500 0.500 0.743
0.837 0.163 0.256
0.837 0.163 0.744
```

Output
Crystal system   orthorhombic
Mass density   7.68 g cm⁻³
Total energy   -3.14 eV/atom

8.
Computed, not measured: a geometry-optimized NdEr2Cd2 structure at the PBE-GGA level of DFT.

The structure in POSCAR format:
```
NdEr2Cd2
1.0
3.724 0.000 0.000
0.000 5.407 0.000
-1.860 0.000 13.801
Nd Er Cd
2 4 4
direct
0.147 0.250 0.297
0.853 0.750 0.703
0.046 0.750 0.093
0.237 0.750 0.473
0.763 0.250 0.527
0.954 0.250 0.907
0.359 0.250 0.717
0.453 0.750 0.905
0.547 0.250 0.095
0.641 0.750 0.283
```

Output
Crystal system   monoclinic
Mass density   8.41 g cm⁻³
Total energy   -3.39 eV/atom

9.
Computed, not measured: a geometry-optimized Nd2ErCd6 structure at the PBE-GGA level of DFT.

The structure in POSCAR format:
```
Nd2ErCd6
1.0
8.748 0.000 0.000
-4.374 7.576 0.000
0.000 0.000 3.436
Nd Er Cd
2 1 6
direct
0.333 0.667 0.000
0.667 0.333 0.000
0.000 0.000 0.000
0.000 0.330 0.500
0.000 0.670 0.500
0.330 0.000 0.500
0.330 0.330 0.500
0.670 0.000 0.500
0.670 0.670 0.500
```

Output
Crystal system   hexagonal
Mass density   8.24 g cm⁻³
Total energy   -2.50 eV/atom

10.
Computed, not measured: a geometry-optimized Nd12Er5Cd2 structure at the PBE-GGA level of DFT.

The structure in POSCAR format:
```
Nd12Er5Cd2
1.0
7.822 -4.642 0.000
7.822 4.642 0.000
-0.415 0.000 8.574
Nd Er Cd
12 5 2
direct
0.059 0.059 0.329
0.069 0.680 0.330
0.165 0.536 0.766
0.320 0.931 0.670
0.418 0.418 0.117
0.464 0.835 0.234
0.536 0.165 0.766
0.582 0.582 0.883
0.680 0.069 0.330
0.835 0.464 0.234
0.931 0.320 0.670
0.941 0.941 0.671
0.195 0.195 0.018
0.268 0.268 0.422
0.500 0.500 0.500
0.732 0.732 0.578
0.805 0.805 0.982
0.169 0.831 0.000
0.831 0.169 0.000
```

Output
Crystal system   monoclinic
Mass density   7.45 g cm⁻³
Total energy   -4.27 eV/atom

11.
Computed, not measured: a geometry-optimized NdEr3Cd6 structure at the PBE-GGA level of DFT.

The structure in POSCAR format:
```
NdEr3Cd6
1.0
9.167 0.000 0.000
0.000 5.192 0.000
-3.134 0.000 10.668
Nd Er Cd
2 6 12
direct
0.059 0.250 0.388
0.941 0.750 0.612
0.240 0.250 0.999
0.352 0.750 0.801
0.470 0.250 0.607
0.530 0.750 0.393
0.648 0.250 0.199
0.760 0.750 0.001
0.055 0.750 0.908
0.145 0.750 0.199
0.162 0.250 0.698
0.252 0.750 0.507
0.352 0.250 0.291
0.452 0.750 0.097
0.548 0.250 0.903
0.648 0.750 0.709
0.748 0.250 0.493
0.838 0.750 0.302
0.855 0.250 0.801
0.945 0.250 0.092
```

Output
Crystal system   monoclinic
Mass density   8.64 g cm⁻³
Total energy   -2.67 eV/atom

12.
Computed, not measured: a geometry-optimized Nd3Er2Cd structure at the PBE-GGA level of DFT.

The structure in POSCAR format:
```
Nd3Er2Cd
1.0
3.640 0.000 0.000
0.000 3.640 0.000
0.000 0.000 14.289
Nd Er Cd
3 2 1
direct
0.000 0.000 0.000
0.000 0.000 0.350
0.000 0.000 0.650
0.500 0.500 0.174
0.500 0.500 0.826
0.500 0.500 0.500
```

Output
Crystal system   tetragonal
Mass density   7.72 g cm⁻³
Total energy   -4.14 eV/atom

| no. | magnetic moment (μB/f.u.) |
| --- | --- |
| 1 | 1.1 |
| 2 | 0.0 |
| 3 | 0.0 |
| 4 | 0.0 |
| 5 | 0.3 |
| 6 | 1.0 |
| 7 | 2.1 |
| 8 | 0.0 |
| 9 | 0.3 |
| 10 | 0.0 |
| 11 | 0.0 |
| 12 | 0.0 |